No. 1
Below is Rb2UTl2Se6 after structural relaxation, with properties calculated at the PBE level. Values from VASP.

Properties
Its total energy is -4.273 eV/atom. As for the space-group type: C2/m, No. 12. For the uncorrected formation energy, the calculation gives -0.740 eV per atom. The calculation puts the density at 5.0 Mg/m³.

Geometry as Quantum ESPRESSO input:
```
&SYSTEM
  ibrav = 0, nat = 11, ntyp = 4
/
ATOMIC_SPECIES
Rb 85.47 Rb.upf
U 238.03 U.upf
Tl 204.38 Tl.upf
Se 78.96 Se.upf
ATOMIC_POSITIONS angstrom
Rb 4.3794 4.7949 0.0000
Rb 4.3794 -4.7949 0.0000
U 4.3794 0.0000 0.0000
Tl 3.4018 1.9283 3.4071
Tl 3.4018 -1.9283 3.4071
Se 1.2290 1.9278 5.2977
Se 2.1347 0.0000 1.5243
Se 1.2290 -1.9278 5.2977
Se 5.5746 1.9278 1.5165
Se 4.6689 0.0000 5.2899
Se 5.5746 -1.9278 1.5165
CELL_PARAMETERS angstrom
4.3794 -7.1249 0.0000
4.3794 7.1249 0.0000
-1.9552 0.0000 6.8142
```

No. 2
Below is RbUTl2Se4 after structural relaxation, with properties calculated at the PBE level. Values from VASP.

Properties
Its total energy is -4.721 eV/atom. As for the space-group type: P2/m, No. 10. For the uncorrected formation energy, the calculation gives -0.855 eV per atom. The calculation puts the density at 6.6 Mg/m³.

Geometry as Quantum ESPRESSO input:
```
&SYSTEM
  ibrav = 0, nat = 8, ntyp = 4
/
ATOMIC_SPECIES
Rb 85.47 Rb.upf
U 238.03 U.upf
Tl 204.38 Tl.upf
Se 78.96 Se.upf
ATOMIC_POSITIONS angstrom
Rb 0.0000 0.0000 0.0000
U -1.3649 2.1596 3.8475
Tl 2.6295 0.0000 3.8475
Tl 3.9943 2.1596 0.0000
Se -0.2399 0.0000 5.3881
Se 0.8499 2.1596 2.3640
Se 4.4090 2.1596 5.3309
Se 5.4988 0.0000 2.3068
CELL_PARAMETERS angstrom
7.9887 0.0000 0.0000
0.0000 4.3192 0.0000
-2.7297 0.0000 7.6949
```

No. 3
Below is Rb2UTlSe6 after structural relaxation, with properties calculated at the PBE level. Values from VASP.

Properties
Its total energy is -4.374 eV/atom. As for the space-group type: C2/m, No. 12. For the uncorrected formation energy, the calculation gives -0.724 eV per atom. The calculation puts the density at 5.5 Mg/m³.

Geometry as Quantum ESPRESSO input:
```
&SYSTEM
  ibrav = 0, nat = 10, ntyp = 4
/
ATOMIC_SPECIES
Rb 85.47 Rb.upf
U 238.03 U.upf
Tl 204.38 Tl.upf
Se 78.96 Se.upf
ATOMIC_POSITIONS angstrom
Rb 1.9376 0.0000 1.6219
Rb 6.2873 0.0000 4.9648
U -2.5957 0.0000 3.2933
Tl 6.7081 0.0000 0.0000
Se 4.9838 1.8760 1.5766
Se -0.1048 0.0000 4.3839
Se 3.2412 1.8760 5.0100
Se 4.9838 -1.8760 1.5766
Se 8.3298 0.0000 2.2028
Se 3.2412 -1.8760 5.0100
CELL_PARAMETERS angstrom
6.7081 -3.7003 0.0000
6.7081 3.7003 0.0000
-5.1913 0.0000 6.5867
```

No. 4
Below is Rb2UTlSe4 after structural relaxation, with properties calculated at the PBE level. Values from VASP.

Properties
Its total energy is -4.747 eV/atom. As for the space-group type: P2/m, No. 10. For the uncorrected formation energy, the calculation gives -1.056 eV per atom. The calculation puts the density at 5.6 Mg/m³.

Geometry as Quantum ESPRESSO input:
```
&SYSTEM
  ibrav = 0, nat = 8, ntyp = 4
/
ATOMIC_SPECIES
Rb 85.47 Rb.upf
U 238.03 U.upf
Tl 204.38 Tl.upf
Se 78.96 Se.upf
ATOMIC_POSITIONS angstrom
Rb 0.0000 0.0000 0.0000
Rb 4.0266 2.1796 0.0000
U -1.2387 2.1796 3.8975
Tl 2.7879 0.0000 3.8975
Se -0.1058 0.0000 5.3928
Se 0.9652 2.1796 2.3699
Se 4.6106 2.1796 5.4251
Se 5.6815 0.0000 2.4022
CELL_PARAMETERS angstrom
8.0531 0.0000 0.0000
0.0000 4.3592 0.0000
-2.4774 0.0000 7.7950
```

No. 5
Below is Rb2UTlSe5 after structural relaxation, with properties calculated at the PBE level. Values from VASP.

Properties
Its total energy is -4.584 eV/atom. As for the space-group type: Cmc2_1, No. 36. For the uncorrected formation energy, the calculation gives -0.916 eV per atom. The calculation puts the density at 5.3 Mg/m³.

Geometry as Quantum ESPRESSO input:
```
&SYSTEM
  ibrav = 0, nat = 18, ntyp = 4
/
ATOMIC_SPECIES
Rb 85.47 Rb.upf
U 238.03 U.upf
Tl 204.38 Tl.upf
Se 78.96 Se.upf
ATOMIC_POSITIONS angstrom
Rb 2.1424 7.7167 7.3125
Rb 2.1424 7.4070 1.9921
Rb 2.1424 -7.4070 9.3046
Rb 2.1424 -7.7167 0.0000
U 2.1424 5.9046 12.2527
U 2.1424 -5.9046 4.9402
Tl 2.1424 1.0702 3.6334
Tl 2.1424 -1.0702 10.9460
Se 2.1424 8.7910 12.6824
Se 2.1424 4.1453 6.7153
Se 2.1424 3.9230 3.0722
Se 2.1424 3.3190 12.0244
Se 2.1424 0.0326 8.6639
Se 2.1424 -0.0326 1.3514
Se 2.1424 -3.3190 4.7119
Se 2.1424 -3.9230 10.3847
Se 2.1424 -4.1453 14.0278
Se 2.1424 -8.7910 5.3699
CELL_PARAMETERS angstrom
2.1424 -10.0563 0.0000
2.1424 10.0563 0.0000
0.0000 0.0000 14.6250
```

No. 6
Below is RbTlVSe3 after structural relaxation, with properties calculated at the PBE level. Values from VASP.

Properties
Its total energy is -4.557 eV/atom. As for the space-group type: C2/c, No. 15. For the uncorrected formation energy, the calculation gives -0.739 eV per atom. The calculation puts the density at 4.6 Mg/m³.

Geometry as Quantum ESPRESSO input:
```
&SYSTEM
  ibrav = 0, nat = 12, ntyp = 4
/
ATOMIC_SPECIES
Rb 85.47 Rb.upf
Tl 204.38 Tl.upf
V 50.94 V.upf
Se 78.96 Se.upf
ATOMIC_POSITIONS angstrom
Rb 3.7689 4.6318 5.2132
Rb 3.8070 -4.6318 1.7377
Tl 3.8070 1.3985 1.7377
Tl 3.7689 -1.3985 5.2132
V 3.8070 6.9278 1.7377
V 3.7689 -6.9278 5.2132
Se 3.8070 4.6211 1.7377
Se 1.5589 0.0243 3.4763
Se 1.5970 -0.0243 0.0008
Se 5.9788 0.0243 6.9501
Se 6.0170 -0.0243 3.4746
Se 3.7689 -4.6211 5.2132
CELL_PARAMETERS angstrom
3.8261 -7.7574 0.0000
3.8261 7.7574 0.0000
-0.0763 0.0000 6.9510
```

No. 7
Below is RbTl2V2Se7 after structural relaxation, with properties calculated at the PBE level. Values from VASP.

Properties
Its total energy is -4.525 eV/atom. As for the space-group type: R32, No. 155. For the uncorrected formation energy, the calculation gives -0.497 eV per atom. The calculation puts the density at 4.3 Mg/m³.

Geometry as Quantum ESPRESSO input:
```
&SYSTEM
  ibrav = 0, nat = 12, ntyp = 4
/
ATOMIC_SPECIES
Rb 85.47 Rb.upf
Tl 204.38 Tl.upf
V 50.94 V.upf
Se 78.96 Se.upf
ATOMIC_POSITIONS angstrom
Rb 0.0000 0.0000 0.0000
Tl 0.0000 0.0000 6.8192
Tl 0.0000 0.0000 28.4185
V 0.0000 0.0000 15.2542
V 0.0000 0.0000 19.9834
Se -1.0720 -1.8204 14.4617
Se -1.0405 -1.8386 20.7759
Se -1.0405 1.8386 14.4617
Se 0.0000 0.0000 17.6188
Se -1.0720 1.8204 20.7759
Se 2.1125 -0.0182 14.4617
Se 2.1125 0.0182 20.7759
CELL_PARAMETERS angstrom
3.2988 1.9045 11.7459
-3.2988 1.9045 11.7459
0.0000 -3.8091 11.7459
```

No. 8
Below is RbTlVSe4 after structural relaxation, with properties calculated at the PBE level. Values from VASP.

Properties
Its total energy is -4.426 eV/atom. As for the space-group type: P2_1/m, No. 11. For the uncorrected formation energy, the calculation gives -0.656 eV per atom. The calculation puts the density at 4.2 Mg/m³.

Geometry as Quantum ESPRESSO input:
```
&SYSTEM
  ibrav = 0, nat = 14, ntyp = 4
/
ATOMIC_SPECIES
Rb 85.47 Rb.upf
Tl 204.38 Tl.upf
V 50.94 V.upf
Se 78.96 Se.upf
ATOMIC_POSITIONS angstrom
Rb 0.9481 1.4677 4.9543
Rb 4.5233 4.4032 7.2138
Tl 0.0059 1.4677 11.6689
Tl 5.4655 4.4032 0.4992
V 1.0542 4.4032 9.1317
V 4.4172 1.4677 3.0365
Se -0.9074 4.4032 10.2856
Se 0.8296 4.4032 6.8785
Se 2.9061 3.0425 2.2388
Se 2.9061 5.7639 2.2388
Se 2.5653 0.1070 9.9294
Se 2.5653 2.8284 9.9294
Se 4.6418 1.4677 5.2896
Se 6.3788 1.4677 1.8826
CELL_PARAMETERS angstrom
7.2384 0.0000 0.0000
0.0000 5.8709 0.0000
-1.7671 0.0000 12.1681
```

No. 9
Below is RbYTlSe3 after structural relaxation, with properties calculated at the PBE level. Values from VASP.

Properties
Its total energy is -4.554 eV/atom. As for the space-group type: P2_1/m, No. 11. For the uncorrected formation energy, the calculation gives -1.179 eV per atom. The calculation puts the density at 5.0 Mg/m³.

Geometry as Quantum ESPRESSO input:
```
&SYSTEM
  ibrav = 0, nat = 12, ntyp = 4
/
ATOMIC_SPECIES
Rb 85.47 Rb.upf
Y 88.91 Y.upf
Tl 204.38 Tl.upf
Se 78.96 Se.upf
ATOMIC_POSITIONS angstrom
Rb 1.0995 1.0502 2.7862
Rb 4.4272 3.1507 7.9892
Y 0.2242 3.1507 9.2282
Y 5.3025 1.0502 1.5472
Tl -0.7920 1.0502 6.2254
Tl 6.3186 3.1507 4.5500
Se -1.7672 1.0502 8.8103
Se 1.0556 3.1507 6.3726
Se 3.3615 3.1507 1.2654
Se 2.1652 1.0502 9.5100
Se 4.4711 1.0502 4.4028
Se 7.2939 3.1507 1.9650
CELL_PARAMETERS angstrom
8.9896 0.0000 0.0000
0.0000 4.2010 0.0000
-3.4630 0.0000 10.7754
```

No. 10
Below is RbTm5Se8 after structural relaxation, with properties calculated at the PBE level. Values from VASP.

Properties
Its total energy is -5.488 eV/atom. As for the space-group type: Cm, No. 8. For the uncorrected formation energy, the calculation gives -1.830 eV per atom. The calculation puts the density at 6.2 Mg/m³.

Geometry as Quantum ESPRESSO input:
```
&SYSTEM
  ibrav = 0, nat = 14, ntyp = 3
/
ATOMIC_SPECIES
Rb 85.47 Rb.upf
Tm 168.93 Tm.upf
Se 78.96 Se.upf
ATOMIC_POSITIONS angstrom
Rb 0.0000 0.0000 0.0000
Tm 2.1148 0.0000 4.4113
Tm 2.1568 0.0000 8.1573
Tm 9.2340 0.0000 4.8411
Tm 16.3096 0.0000 1.5244
Tm 16.3544 0.0000 5.2715
Se -0.0004 0.0000 6.3036
Se 4.7580 0.0000 3.4018
Se 6.9577 0.0000 0.0533
Se 7.0581 0.0000 6.6927
Se 11.4113 0.0000 2.9901
Se 11.5086 0.0000 9.6283
Se 13.7106 0.0000 6.2801
Se 18.4687 0.0000 3.3775
CELL_PARAMETERS angstrom
10.4920 -2.0449 0.0000
10.4920 2.0449 0.0000
-2.5183 0.0000 9.6986
```